{"formula": "NpVAuO6", "functional": "PBE with a Hubbard U", "state": "relaxed", "lattice": [[5.365, 0.000, 0.000], [-2.683, 4.646, 0.000], [0.000, 0.000, 9.731]], "species": ["Np", "Np", "V", "V", "Au", "Au", "O", "O", "O", "O", "O", "O", "O", "O", "O", "O", "O", "O"], "fractional_positions": [[0.333, 0.667, 0.250], [0.667, 0.333, 0.750], [0.333, 0.667, 0.750], [0.667, 0.333, 0.250], [0.000, 0.000, 0.000], [0.000, 0.000, 0.500], [0.022, 0.380, 0.642], [0.022, 0.642, 0.858], [0.358, 0.380, 0.858], [0.358, 0.978, 0.642], [0.380, 0.022, 0.142], [0.380, 0.358, 0.358], [0.620, 0.642, 0.642], [0.620, 0.978, 0.858], [0.642, 0.022, 0.358], [0.642, 0.620, 0.142], [0.978, 0.358, 0.142], [0.978, 0.620, 0.358]], "n_ef_per_ev_cell": 3.4, "total_energy_ev_per_atom": -7.682, "space_group": "P-31c, No. 163", "total_magnetization_mub_per_fu": 1.0}